Here is crystalline CaPH3 at its relaxed geometry from Alexandria. Energies are from PBE.

Unit cell a=3.733 b=3.733 c=3.733 alpha=90.00 beta=90.00 gamma=90.00
Fractional coordinates of all 5 atoms:
Ca (0.000, 0.000, 0.000)
P (0.500, 0.500, 0.500)
H (0.000, 0.500, 0.500)
H (0.500, 0.000, 0.500)
H (0.500, 0.500, 0.000)

Properties
- excess energy over the best structure of this formula in the dataset (meV per atom) = 0


Here is crystalline TbDy8Th2 at its relaxed geometry from Alexandria. Energies are from PBE.

Unit cell a=10.073 b=10.073 c=5.578 alpha=92.02 beta=92.02 gamma=40.81
Fractional coordinates of all 11 atoms:
Tb (0.000, 0.000, 0.000)
Dy (0.139, 0.599, 0.262)
Dy (0.182, 0.182, 0.233)
Dy (0.401, 0.861, 0.738)
Dy (0.453, 0.453, 0.763)
Dy (0.547, 0.547, 0.237)
Dy (0.599, 0.139, 0.262)
Dy (0.818, 0.818, 0.767)
Dy (0.861, 0.401, 0.738)
Th (0.282, 0.282, 0.738)
Th (0.718, 0.718, 0.262)

Properties
- DFT formation energy (eV per atom) = 0.20
- excess energy over the best structure of this formula in the dataset (meV per atom) = 12


Here is crystalline Tm5Th4 at its relaxed geometry from Alexandria. Energies are from PBE.

Unit cell a=7.903 b=7.903 c=7.903 alpha=95.74 beta=95.74 gamma=143.13
Fractional coordinates of all 9 atoms:
Tm (0.000, 0.000, 0.000)
Tm (0.000, 0.331, 0.331)
Tm (0.000, 0.669, 0.669)
Tm (0.331, 0.000, 0.331)
Tm (0.669, 0.000, 0.669)
Th (0.334, 0.334, 0.669)
Th (0.334, 0.666, 0.000)
Th (0.666, 0.334, 0.000)
Th (0.666, 0.666, 0.331)

Properties
- DFT formation energy (eV per atom) = 0.04
- excess energy over the best structure of this formula in the dataset (meV per atom) = 0


Here is crystalline CrNi2Pb at its relaxed geometry from Alexandria. Energies are from PBE.

Unit cell a=3.271 b=3.271 c=5.715 alpha=90.00 beta=90.00 gamma=90.00
Fractional coordinates of all 4 atoms:
Cr (0.000, 0.000, 0.000)
Ni (0.000, 0.000, 0.418)
Ni (0.500, 0.500, 0.197)
Pb (0.500, 0.500, 0.680)

Properties
- DFT formation energy (eV per atom) = 0.39


Here is crystalline ReTe3Pd at its relaxed geometry from Alexandria. Energies are from PBE.

Unit cell a=5.231 b=5.231 c=5.231 alpha=90.00 beta=90.00 gamma=90.00
Fractional coordinates of all 5 atoms:
Re (0.000, 0.000, 0.000)
Te (0.000, 0.500, 0.500)
Te (0.500, 0.000, 0.500)
Te (0.500, 0.500, 0.000)
Pd (0.500, 0.500, 0.500)

Properties
- excess energy over the best structure of this formula in the dataset (meV per atom) = 1262


Here is crystalline NaC2SN at its relaxed geometry from Alexandria. Energies are from PBE.

Unit cell a=3.412 b=3.412 c=6.901 alpha=90.00 beta=90.00 gamma=90.00
Fractional coordinates of all 5 atoms:
Na (0.000, 0.000, 0.000)
C (0.000, 0.500, 0.500)
C (0.500, 0.000, 0.500)
S (0.000, 0.000, 0.500)
N (0.500, 0.500, 0.000)

Properties
- electronic total energy (eV/atom) = -4.13


Here is crystalline CdRh at its relaxed geometry from Alexandria. Energies are from PBE.

Unit cell a=2.966 b=4.726 c=4.827 alpha=90.00 beta=90.00 gamma=90.00
Fractional coordinates of all 4 atoms:
Cd (0.250, 0.250, 0.088)
Cd (0.750, 0.750, 0.912)
Rh (0.250, 0.750, 0.427)
Rh (0.750, 0.250, 0.573)

Properties
- DFT formation energy (eV per atom) = 0.04


Here is crystalline Li12TlAg3 at its relaxed geometry from Alexandria. Energies are from PBE.

Unit cell a=4.140 b=4.140 c=16.283 alpha=90.00 beta=90.00 gamma=90.00
Fractional coordinates of all 16 atoms:
Li (0.000, 0.000, 0.000)
Li (0.000, 0.000, 0.243)
Li (0.000, 0.000, 0.500)
Li (0.000, 0.000, 0.757)
Li (0.000, 0.500, 0.122)
Li (0.000, 0.500, 0.365)
Li (0.000, 0.500, 0.635)
Li (0.000, 0.500, 0.878)
Li (0.500, 0.000, 0.122)
Li (0.500, 0.000, 0.365)
Li (0.500, 0.000, 0.635)
Li (0.500, 0.000, 0.878)
Tl (0.500, 0.500, 0.500)
Ag (0.500, 0.500, 0.000)
Ag (0.500, 0.500, 0.242)
Ag (0.500, 0.500, 0.758)

Properties
- DFT formation energy (eV per atom) = -0.15